PrTmOs: optimized geometry, PBE.

For the volume, the calculation gives 25.3 Å³ per atom. The calculation puts the formation enthalpy at 0 K at 0.67 eV per atom. The total magnetic moment is 0.000 μB/atom. The value obtained for the total energy is -6.151 eV/atom.

It has space group F-43m (No. 216), with a = 6.7209 Å, b = 6.7209 Å, c = 6.7209 Å, α = 90.00°, β = 90.00° and γ = 90.00°. The asymmetric unit holds Pr at (0.0000, 0.0000, 0.0000), Tm at (0.2500, 0.2500, 0.7500) and Os at (0.0000, 0.0000, 0.5000).